This record from Alexandria via LeMat-Bulk describes crystalline BeCo2Rh at its relaxed geometry. The functional is PBE.

```
BeCo2Rh
1.0
-1.546 -0.105 -2.379
1.644 -3.290 -0.923
-2.983 -2.060 2.029
Rh Co Be
1 2 1
Direct
0.500 0.000 0.500
0.500 0.500 0.000
0.000 0.000 0.000
0.000 0.500 0.500
```

The symmetry is No. 47. The calculation puts the electronic total energy at -25.8 eV/cell. Its density is 8530 kg/m3. As for the energy of formation: -0.135 eV per atom. Its volume is 45 Å³/f.u.